DFT (GGA-PBE) results for a relaxed structure of AcPmDy2As4.

formation enthalpy at 0 K	-1.485	eV/atom

Cell lengths 7.377, 4.262, 7.384 Å; angles 90.00, 109.42, 90.00 degrees
Space group P2/m (No. 10)
Symmetry-distinct sites (fractional):
Ac (0.000, 0.000, 0.000)
Pm (0.000, 0.500, 0.500)
Dy (0.500, 0.000, 0.500)
Dy (0.500, 0.500, 0.000)
As (0.262, 0.000, 0.747)
As (0.268, 0.500, 0.263)